Material: Rb3SmV2O8
Method: DFT, GGA+U
State: relaxed

## Properties
As for the uncorrected energy: -6.742 eV/atom. The density of states at the Fermi level is 0.00 states/eV per cell. As for the size of the total moment: 0.00 μB per atom.

Cell and atoms, written as CIF:
```
data_Rb3SmV2O8
_symmetry_space_group_name_H-M 'P -3 m 1'
_symmetry_Int_Tables_number 164
_symmetry_space_group_name_Hall '-P 3 2"'
_cell_length_a 6.1525
_cell_length_b 6.1525
_cell_length_c 8.0428
_cell_angle_alpha 90.00
_cell_angle_beta 90.00
_cell_angle_gamma 120.00
loop_
_atom_site_label
_atom_site_fract_x
_atom_site_fract_y
_atom_site_fract_z
Rb1 0.0000 0.0000 0.0000
Rb2 0.3333 0.6667 0.7034
Sm1 0.0000 0.0000 0.5000
V1 0.3333 0.6667 0.2544
O1 0.1770 0.3540 0.3287
O2 0.3333 0.6667 0.0451
```